# 1
VASP calculation (GGA-PBE) on AlBr after structural relaxation.

Its uncorrected formation energy is -0.318 eV per formula unit. The value obtained for the density of states at the Fermi level is 0.52 states/eV per cell. The calculation puts the total moment at 0.00 μB/cell. The calculation puts the total energy at -2.867 eV/atom.

It has space group Fddd (No. 70, origin choice 2), with a = 7.538 Å, b = 9.935 Å, c = 12.233 Å, α = 90.00°, β = 90.00° and γ = 90.00°. Symmetry generates all atoms from Al at (0.085, 0.375, 0.375) and Br at (0.125, 0.321, 0.625).

# 2
VASP calculation (GGA-PBE) on AlBr3 after structural relaxation.

Its uncorrected formation energy is -2.400 eV per formula unit. The value obtained for the density of states at the Fermi level is 0.01 states/eV per cell. The calculation puts the total moment at 0.00 μB/cell. The calculation puts the total energy at -2.790 eV/atom.

It has space group I-42d (No. 122), with a = 9.202 Å, b = 9.202 Å, c = 5.263 Å, α = 90.00°, β = 90.00° and γ = 90.00°. Symmetry generates all atoms from Al at (0.000, 0.000, 0.000), Br at (0.000, 0.000, 0.500) and Br at (0.112, 0.250, 0.125).

# 3
VASP calculation (GGA-PBE) on AlBr after structural relaxation.

Its uncorrected formation energy is -0.640 eV per formula unit. The calculation puts the total moment at 0.00 μB/cell. The calculation puts the total energy at -3.028 eV/atom.

It has space group Cm (No. 8), with a = 16.104 Å, b = 3.503 Å, c = 7.554 Å, α = 90.00°, β = 101.28° and γ = 90.00°. Symmetry generates all atoms from Al at (0.000, 0.000, 0.000), Al at (0.010, 0.000, 0.368), Al at (0.387, 0.000, 0.133), Br at (0.115, 0.500, 0.518), Br at (0.272, 0.500, 0.064) and Br at (0.394, 0.000, 0.484).

# 4
VASP calculation (GGA-PBE) on AlBr after structural relaxation.

Its uncorrected formation energy is -0.208 eV per formula unit. The value obtained for the density of states at the Fermi level is 0.00 states/eV per cell. The calculation puts the total moment at 0.00 μB/cell. The calculation puts the total energy at -2.812 eV/atom.

It has space group I-43m (No. 217), with a = 10.739 Å, b = 10.739 Å, c = 10.739 Å, α = 90.00°, β = 90.00° and γ = 90.00°. Symmetry generates all atoms from Al at (0.135, 0.135, 0.135) and Br at (0.127, 0.127, 0.873).

> Which value of total energy does entry 3 give?

-3.028 eV/atom

> Look up the total energy of the first one.

-2.867 eV/atom

> What is the total energy in the third record?

-3.028 eV/atom

> Which value of total moment does entry 4 give?

0.00 μB/cell